(1)
Pa2CdAu after structural relaxation, computed with PBE. Values from VASP.

Calculated volume (Å³/cell): 93
Raw total energy (eV per atom): -5.85
Spin magnetization (μB/f.u.): 0.00
ΔH_f (0 K) (eV per atom): -0.059
Crystal system: trigonal
DOS(E_F) (states/eV/atom): 1.542
Distance to the lowest polymorph of the same formula (meV/atom): 3

The structure in Quantum ESPRESSO input format:
```
&SYSTEM
  ibrav = 0, nat = 4, ntyp = 3
/
ATOMIC_SPECIES
Pa 231.04 Pa.upf
Cd 112.41 Cd.upf
Au 196.97 Au.upf
ATOMIC_POSITIONS angstrom
Pa 1.5657 0.9040 2.5939
Cd 3.1315 1.8080 5.4523
Pa 4.6972 2.7119 8.3108
Au 0.0000 0.0000 0.0000
CELL_PARAMETERS angstrom
3.1315 0.0000 0.0000
1.5657 2.7119 0.0000
1.5657 0.9040 10.9047
```

***

(2)
Pr2Al3Ga4Au after structural relaxation, computed with PBE. Values from VASP.

Calculated volume (Å³/cell): 204
Raw total energy (eV per atom): -4.11
Spin magnetization (μB/f.u.): 0.00
ΔH_f (0 K) (eV per atom): -0.493
Crystal system: tetragonal
DOS(E_F) (states/eV/atom): 0.292

The structure in Quantum ESPRESSO input format:
```
&SYSTEM
  ibrav = 0, nat = 10, ntyp = 4
/
ATOMIC_SPECIES
Au 196.97 Au.upf
Ga 69.72 Ga.upf
Pr 140.91 Pr.upf
Al 26.98 Al.upf
ATOMIC_POSITIONS angstrom
Au 2.1750 2.1750 5.3889
Ga 2.1750 2.1750 0.0000
Ga 0.0000 2.1750 3.8949
Ga 0.0000 0.0000 0.0000
Pr 2.1750 0.0000 2.6679
Ga 2.1750 0.0000 6.8829
Al 0.0000 0.0000 5.3889
Pr 0.0000 2.1750 8.1099
Al 2.1750 0.0000 9.3583
Al 0.0000 2.1750 1.4195
CELL_PARAMETERS angstrom
4.3500 0.0000 0.0000
0.0000 4.3500 0.0000
0.0000 0.0000 10.7778
```

***

(3)
Dy3NiRh after structural relaxation, computed with PBE. Values from VASP.

Calculated volume (Å³/cell): 457
Raw total energy (eV per atom): -5.91
Spin magnetization (μB/f.u.): 0.00
ΔH_f (0 K) (eV per atom): -0.522
Crystal system: monoclinic
DOS(E_F) (states/eV/atom): 0.841
Distance to the lowest polymorph of the same formula (meV/atom): 29

The structure in Quantum ESPRESSO input format:
```
&SYSTEM
  ibrav = 0, nat = 20, ntyp = 3
/
ATOMIC_SPECIES
Dy 162.50 Dy.upf
Ni 58.69 Ni.upf
Rh 102.91 Rh.upf
ATOMIC_POSITIONS angstrom
Dy 3.1297 0.6213 2.4871
Dy 6.2634 3.8968 6.4409
Dy 3.1318 -1.0821 6.2020
Ni 1.9547 8.1656 4.0564
Dy 0.0001 2.4842 1.1990
Dy 3.1309 2.3657 5.4492
Dy 3.1338 5.7597 5.1529
Rh 4.8332 1.4026 7.4009
Dy 6.2626 -0.9636 1.9518
Dy 0.0008 7.3446 5.6881
Rh 4.5620 -3.5763 7.1620
Ni 5.0864 3.1943 3.8225
Dy 3.1316 7.4631 1.4379
Ni 1.1770 3.1867 3.8175
Dy 6.2614 0.7808 4.9140
Dy 3.1326 4.0153 2.1907
Rh 1.7014 9.9573 0.4779
Rh 1.4303 4.9784 0.2391
Ni 4.3088 -1.7846 3.5836
Dy 0.0020 5.6002 2.7259
CELL_PARAMETERS angstrom
6.2635 0.0000 0.0000
0.0000 9.9578 0.4778
0.0000 -3.5767 7.1622
```

***

(4)
Sm3Ag2Hg6 after structural relaxation, computed with PBE. Values from VASP.

Calculated volume (Å³/cell): 288
Raw total energy (eV per atom): -2.16
Spin magnetization (μB/f.u.): 0.00
ΔH_f (0 K) (eV per atom): -0.192
Crystal system: tetragonal
DOS(E_F) (states/eV/atom): 0.877

The structure in Quantum ESPRESSO input format:
```
&SYSTEM
  ibrav = 0, nat = 11, ntyp = 3
/
ATOMIC_SPECIES
Hg 200.59 Hg.upf
Ag 107.87 Ag.upf
Sm 150.36 Sm.upf
ATOMIC_POSITIONS angstrom
Hg 0.0000 0.0000 8.8278
Hg 2.1115 2.1115 7.3463
Ag 2.1115 2.1115 4.5295
Hg 2.1115 0.0000 2.4264
Hg 0.0000 2.1115 13.7477
Sm 0.0000 0.0000 0.0000
Hg 0.0000 2.1115 2.4264
Ag 0.0000 0.0000 11.6446
Sm 2.1115 2.1115 10.5037
Hg 2.1115 0.0000 13.7477
Sm 0.0000 0.0000 5.6704
CELL_PARAMETERS angstrom
4.2230 0.0000 0.0000
0.0000 4.2230 0.0000
-2.1115 -2.1115 16.1741
```

***

(5)
InFeSb2 after structural relaxation, computed with PBE. Values from VASP.

Calculated volume (Å³/cell): 89
Raw total energy (eV per atom): -4.73
Spin magnetization (μB/f.u.): 1.25
Crystal system: tetragonal
E_form (uncorrected) (eV per atom): 0.129
DOS(E_F) (states/eV/atom): 0.609

The structure in Quantum ESPRESSO input format:
```
&SYSTEM
  ibrav = 0, nat = 4, ntyp = 3
/
ATOMIC_SPECIES
Fe 55.84 Fe.upf
In 114.82 In.upf
Sb 121.76 Sb.upf
ATOMIC_POSITIONS angstrom
Fe 1.6125 1.6125 2.1434
In 1.6125 1.6125 6.4302
Sb 0.0000 0.0000 3.7139
Sb 0.0000 0.0000 0.5729
CELL_PARAMETERS angstrom
3.2250 0.0000 0.0000
0.0000 3.2250 0.0000
0.0000 0.0000 8.5736
```

***

(6)
RbCaCuI4 after structural relaxation, computed with PBE. Values from VASP.

Calculated volume (Å³/cell): 553
Raw total energy (eV per atom): -3.02
Spin magnetization (μB/f.u.): 0.00
Crystal system: monoclinic
E_form (uncorrected) (eV per atom): -1.128
DOS(E_F) (states/eV/atom): 0.000

The structure in Quantum ESPRESSO input format:
```
&SYSTEM
  ibrav = 0, nat = 14, ntyp = 4
/
ATOMIC_SPECIES
Ca 40.08 Ca.upf
I 126.90 I.upf
Cu 63.55 Cu.upf
Rb 85.47 Rb.upf
ATOMIC_POSITIONS angstrom
Ca -0.1106 2.0344 5.2618
I 6.1460 4.0209 2.5354
I 1.6170 2.0344 7.9632
Cu 0.5218 6.1032 3.0829
I -2.0433 4.1167 6.7543
Cu 3.5808 2.0344 6.2069
I 2.5905 2.0344 3.7960
I -2.0433 8.0897 6.7543
Rb 1.4602 2.0344 0.4035
I 6.1460 0.0479 2.5354
Ca 4.2132 6.1032 4.0280
I 1.5122 6.1032 5.4937
Rb 2.6425 6.1032 8.8863
I 2.4857 6.1032 1.3265
CELL_PARAMETERS angstrom
7.2107 0.0000 -0.2224
0.0000 8.1376 0.0000
-3.1080 0.0000 9.5121
```